MoCl2O3 (GGA+U, optimized geometry); E = -4.843 eV per atom; space group = Pmn2_1 (31)
1.0
-0.990 3.540 -1.981
-1.822 -3.867 -5.999
-9.098 -0.734 3.236
O Mo Cl
6 2 4
direct
0.951 0.753 0.500
0.049 0.253 0.000
0.732 0.016 0.000
0.769 0.278 0.500
0.268 0.516 0.500
0.231 0.778 0.000
0.693 0.506 0.500
0.307 0.006 0.000
0.774 0.590 0.269
0.226 0.090 0.231
0.774 0.590 0.731
0.226 0.090 0.769